No. 1
Entry from Alexandria: a geometry-optimized UNi2S4 structure (PBE-GGA).

a b c (Å): 6.290 6.290 3.548
angles (deg): 90.00 90.00 90.00
Sites, in units of the cell vectors:
U (0.000, 0.000, 0.000)
Ni (0.500, 0.000, 0.500)
Ni (0.000, 0.500, 0.500)
S (0.768, 0.232, 0.500)
S (0.232, 0.232, 0.500)
S (0.232, 0.768, 0.500)
S (0.768, 0.768, 0.500)

Properties
energy relative to the elements, uncorrected = -0.6874 eV/atom
density of states at the Fermi level = 0.767 states/eV/atom
SG = P4/mmm
total moment = 0.3 μB/f.u.

No. 2
Entry from Alexandria: a geometry-optimized YUNiS4 structure (PBE-GGA).

a b c (Å): 6.286 5.871 7.571
angles (deg): 90.00 106.49 90.00
Sites, in units of the cell vectors:
Y (0.748, 0.750, 0.940)
Y (0.252, 0.250, 0.060)
U (0.761, 0.750, 0.444)
U (0.239, 0.250, 0.556)
Ni (0.240, 0.750, 0.328)
Ni (0.760, 0.250, 0.672)
S (0.016, 0.511, 0.751)
S (0.984, 0.011, 0.249)
S (0.984, 0.489, 0.249)
S (0.016, 0.989, 0.751)
S (0.435, 0.750, 0.122)
S (0.565, 0.250, 0.878)
S (0.437, 0.750, 0.613)
S (0.563, 0.250, 0.387)

Properties
energy relative to the elements, uncorrected = -1.3385 eV/atom
density of states at the Fermi level = 0.797 states/eV/atom
SG = P2_1/m
total moment = 1.4 μB/f.u.

No. 3
Entry from Alexandria: a geometry-optimized Y2UNiS5 structure (PBE-GGA).

a b c (Å): 3.740 8.439 11.704
angles (deg): 90.00 90.00 102.80
Sites, in units of the cell vectors:
Y (0.895, 0.791, 0.850)
Y (0.115, 0.231, 0.693)
Y (0.105, 0.209, 0.350)
Y (0.885, 0.769, 0.193)
U (0.825, 0.649, 0.528)
U (0.175, 0.351, 0.028)
Ni (0.552, 0.103, 0.919)
Ni (0.448, 0.897, 0.419)
S (0.342, 0.684, 0.019)
S (0.680, 0.361, 0.859)
S (0.496, 0.991, 0.746)
S (0.303, 0.606, 0.696)
S (0.984, 0.968, 0.513)
S (0.658, 0.316, 0.519)
S (0.320, 0.639, 0.359)
S (0.504, 0.009, 0.246)
S (0.697, 0.394, 0.196)
S (0.016, 0.032, 0.013)

Properties
energy relative to the elements, uncorrected = -1.5487 eV/atom
density of states at the Fermi level = 0.718 states/eV/atom
SG = Cmc2_1
total moment = 1.9 μB/f.u.

No. 4
Entry from Alexandria: a geometry-optimized V3NiS structure (PBE-GGA).

a b c (Å): 4.250 4.250 4.250
angles (deg): 90.00 90.00 90.00
Sites, in units of the cell vectors:
Ni (0.500, 0.500, 0.500)
S (0.000, 0.000, 0.000)
V (0.000, 0.500, 0.000)
V (0.000, 0.000, 0.500)
V (0.500, 0.000, 0.000)

Properties
energy relative to the elements, uncorrected = 0.2688 eV/atom
density of states at the Fermi level = 1.113 states/eV/atom
SG = Pm-3m
total moment = 3.5 μB/f.u.

No. 5
Entry from Alexandria: a geometry-optimized VNiS2 structure (PBE-GGA).

a b c (Å): 3.151 5.805 11.466
angles (deg): 90.00 90.00 90.00
Sites, in units of the cell vectors:
V (0.250, 0.491, 0.664)
V (0.750, 0.509, 0.336)
V (0.250, 0.991, 0.836)
V (0.750, 0.009, 0.164)
Ni (0.250, 0.543, 0.904)
Ni (0.750, 0.457, 0.096)
Ni (0.250, 0.043, 0.596)
Ni (0.750, 0.957, 0.404)
S (0.250, 0.666, 0.197)
S (0.750, 0.334, 0.803)
S (0.250, 0.166, 0.303)
S (0.750, 0.834, 0.697)
S (0.250, 0.699, 0.465)
S (0.750, 0.301, 0.535)
S (0.250, 0.199, 0.035)
S (0.750, 0.801, 0.965)

Properties
energy relative to the elements, uncorrected = -0.5291 eV/atom
density of states at the Fermi level = 0.775 states/eV/atom
SG = Pnma
total moment = 0.3 μB/f.u.

No. 6
Entry from Alexandria: a geometry-optimized VNiS2 structure (PBE-GGA).

a b c (Å): 3.238 3.238 6.358
angles (deg): 75.25 75.25 60.00
Sites, in units of the cell vectors:
V (0.507, 0.507, 0.480)
Ni (0.652, 0.652, 0.043)
S (0.089, 0.089, 0.732)
S (0.252, 0.252, 0.245)

Properties
energy relative to the elements, uncorrected = -0.5820 eV/atom
density of states at the Fermi level = 0.985 states/eV/atom
SG = R3m
total moment = 0.0 μB/f.u.

No. 7
Entry from Alexandria: a geometry-optimized VNi2S4 structure (PBE-GGA).

a b c (Å): 3.278 3.278 12.306
angles (deg): 97.49 97.49 59.95
Sites, in units of the cell vectors:
V (0.000, 0.000, 0.000)
Ni (0.567, 0.567, 0.695)
Ni (0.433, 0.433, 0.305)
S (0.207, 0.207, 0.612)
S (0.372, 0.372, 0.119)
S (0.628, 0.628, 0.881)
S (0.793, 0.793, 0.388)

Properties
energy relative to the elements, uncorrected = -0.4915 eV/atom
density of states at the Fermi level = 0.832 states/eV/atom
SG = C2/m
total moment = 0.0 μB/f.u.

No. 8
Entry from Alexandria: a geometry-optimized V3NiS8 structure (PBE-GGA).

a b c (Å): 6.512 6.512 11.313
angles (deg): 90.00 90.00 120.00
Sites, in units of the cell vectors:
V (0.836, 0.673, 0.709)
V (0.327, 0.164, 0.709)
V (0.836, 0.164, 0.709)
V (0.164, 0.836, 0.209)
V (0.673, 0.836, 0.209)
V (0.164, 0.327, 0.209)
Ni (0.667, 0.333, 0.976)
Ni (0.333, 0.667, 0.476)
S (0.828, 0.656, 0.099)
S (0.513, 0.487, 0.845)
S (0.667, 0.333, 0.585)
S (0.000, 0.000, 0.839)
S (0.000, 0.000, 0.339)
S (0.344, 0.172, 0.099)
S (0.975, 0.487, 0.845)
S (0.513, 0.025, 0.845)
S (0.172, 0.828, 0.599)
S (0.828, 0.172, 0.099)
S (0.487, 0.975, 0.345)
S (0.025, 0.513, 0.345)
S (0.333, 0.667, 0.085)
S (0.656, 0.828, 0.599)
S (0.487, 0.513, 0.345)
S (0.172, 0.344, 0.599)

Properties
energy relative to the elements, uncorrected = -0.6395 eV/atom
density of states at the Fermi level = 0.457 states/eV/atom
SG = P6_3mc
total moment = 0.0 μB/f.u.

No. 9
Entry from Alexandria: a geometry-optimized VNi2S4 structure (PBE-GGA).

a b c (Å): 4.673 4.673 6.404
angles (deg): 68.60 68.60 90.00
Sites, in units of the cell vectors:
Ni (0.395, 0.395, 0.209)
Ni (0.605, 0.605, 0.791)
S (0.206, 0.206, 0.588)
S (0.794, 0.794, 0.412)
S (0.000, 0.500, 0.000)
S (0.500, 0.000, 0.000)
V (0.000, 0.000, 0.000)

Properties
energy relative to the elements, uncorrected = 0.0280 eV/atom
density of states at the Fermi level = 1.218 states/eV/atom
SG = I4/mmm
total moment = 2.5 μB/f.u.

No. 10
Entry from Alexandria: a geometry-optimized VNi2S4 structure (PBE-GGA).

a b c (Å): 6.543 6.790 6.790
angles (deg): 61.77 61.20 61.20
Sites, in units of the cell vectors:
V (0.000, 0.500, 0.000)
V (0.500, 0.500, 0.000)
Ni (0.130, 0.120, 0.620)
Ni (0.500, 0.000, 0.000)
Ni (0.500, 0.500, 0.500)
Ni (0.870, 0.880, 0.380)
S (0.258, 0.248, 0.235)
S (0.258, 0.735, 0.748)
S (0.259, 0.255, 0.755)
S (0.732, 0.255, 0.755)
S (0.268, 0.745, 0.245)
S (0.742, 0.265, 0.252)
S (0.741, 0.745, 0.245)
S (0.742, 0.752, 0.765)

Properties
energy relative to the elements, uncorrected = -0.5661 eV/atom
density of states at the Fermi level = 0.527 states/eV/atom
SG = Imma
total moment = 1.1 μB/f.u.

No. 11
Entry from Alexandria: a geometry-optimized VNiS2 structure (PBE-GGA).

a b c (Å): 4.192 4.192 4.192
angles (deg): 60.00 60.00 60.00
Sites, in units of the cell vectors:
Ni (0.500, 0.500, 0.500)
S (0.250, 0.250, 0.250)
S (0.750, 0.750, 0.750)
V (0.000, 0.000, 0.000)

Properties
energy relative to the elements, uncorrected = -0.1752 eV/atom
density of states at the Fermi level = 1.468 states/eV/atom
SG = Fm-3m
total moment = 1.3 μB/f.u.